NdHoTm2P4 | PBE | optimized geometry

As for the size of the total moment: 0.00 μB per cell. The value obtained for the final energy is -6.569 eV per atom. The formation energy is -1.578 eV per atom.

abc: 6.9503 4.0168 6.9529
angles: 90.00 109.48 90.00
With the nearest neighbours (Å) after each atom.
Element x y z (fractional)
Nd  0.0000  0.0000  0.0000  6 P 2.89
Ho  0.0000  0.5000  0.5000  6 P 2.85
Tm  0.5000  0.0000  0.5000  6 P 2.79
Tm  0.5000  0.5000  0.0000  6 P 2.83
P  0.2561  0.0000  0.7472  3 Tm 2.79-2.83, 2 Ho 2.85, 1 Nd 2.89
P  0.2597  0.5000  0.2582  3 Tm 2.79-2.83, 1 Ho 2.85, 2 Nd 2.89
P  0.7403  0.5000  0.7418  3 Tm 2.79-2.83, 1 Ho 2.85, 2 Nd 2.89
P  0.7439  0.0000  0.2528  3 Tm 2.79-2.83, 2 Ho 2.85, 1 Nd 2.89